Density functional theory data (PBE) for crystalline YPaOsPt at its relaxed geometry.

Cell and atoms, written as POSCAR:
```
YPaOsPt
1.0
0.000 3.473 3.473
3.473 0.000 3.473
3.473 3.473 0.000
Y Pa Os Pt
1 1 1 1
Direct
0.000 0.000 0.000 Y
0.500 0.500 0.500 Pa
0.250 0.250 0.250 Os
0.750 0.750 0.750 Pt
```

Results
Theoretical density ... 14.0 g/cm³
Space-group type ... F-43m
Fermi-level density of states ... 5.07 states/eV/f.u.
E_form ... -0.537 eV per atom